The following is a DFT calculation (PBE) of a relaxed TbEr4In4 crystal.

a = 7.1612 Å, b = 7.1612 Å, c = 10.5199 Å
α = 90.00°, β = 90.00°, γ = 90.00°
With the nearest neighbours (Å) after each atom.
Atoms (fractional coordinates):
1 Tb 0.0000 0.0000 0.0000  4 In 3.62, 8 Er 4.04
2 Tb 0.5000 0.5000 0.5000  4 In 3.62, 8 Er 4.04
3 Er 0.2296 0.5000 0.9154  5 In 3.10-3.14, 3 Er 3.27-3.29
4 Er 0.7704 0.5000 0.9154  5 In 3.10-3.14, 3 Er 3.27-3.29
5 Er 0.5000 0.7704 0.0846  5 In 3.10-3.14, 3 Er 3.27-3.29
6 Er 0.5000 0.2296 0.0846  5 In 3.10-3.14, 3 Er 3.27-3.29
7 Er 0.0000 0.7296 0.4154  5 In 3.10-3.14, 3 Er 3.27-3.29
8 Er 0.0000 0.2704 0.4154  5 In 3.10-3.14, 3 Er 3.27-3.29
9 Er 0.2704 0.0000 0.5846  5 In 3.10-3.14, 3 Er 3.27-3.29
10 Er 0.7296 0.0000 0.5846  5 In 3.10-3.14, 3 Er 3.27-3.29
11 In 0.5000 0.7815 0.7860  5 Er 3.10-3.14, 1 In 3.13
12 In 0.5000 0.2185 0.7860  5 Er 3.10-3.14, 1 In 3.13
13 In 0.7815 0.5000 0.2140  5 Er 3.10-3.14, 1 In 3.13
14 In 0.2185 0.5000 0.2140  5 Er 3.10-3.14, 1 In 3.13
15 In 0.2815 0.0000 0.2860  5 Er 3.10-3.14, 1 In 3.13
16 In 0.7185 0.0000 0.2860  5 Er 3.10-3.14, 1 In 3.13
17 In 0.0000 0.2815 0.7140  5 Er 3.10-3.14, 1 In 3.13
18 In 0.0000 0.7185 0.7140  5 Er 3.10-3.14, 1 In 3.13

Properties
* total energy: -0.143 Ha/atom